Computed, not measured: an optimized crystal structure of ScPt at the PBE level of DFT.

Cell lengths 3.621, 3.621, 7.882 Å; angles 90.00, 90.00, 120.00 degrees
Fractional positions:
Sc  0.000  0.000  0.436
Sc  0.333  0.667  0.814
Pt  0.333  0.667  0.242
Pt  0.000  0.000  0.008

Results
The calculation puts the calculated volume at 22.37 Å³ per atom. The value obtained for the formation energy from the elements is -625 meV/atom. For the density of states at the Fermi level, the calculation gives 0.3220 states/eV per atom.